# 1
ScAlCl2 | PBE | optimized geometry

POSCAR file:
```
ScAlCl2
1.0
-0.3590 0.8679 -2.9905
2.8736 -1.0673 -0.6547
-4.2370 -9.9486 -2.3786
Al Cl Sc
1 2 1
Direct
0.5000 0.5000 0.7500 Al
0.0000 0.0000 0.3890 Cl
0.0000 0.0000 0.1110 Cl
0.5000 0.5000 0.2500 Sc
```

Distance to the lowest polymorph of the same formula ... 92 meV/atom
E_form (uncorrected) ... -0.939 eV per atom
Volume ... 27.2 Å³ per atom
Crystal system ... tetragonal
Uncorrected energy ... -4.3806 eV per atom
SG ... P4/mmm

---

# 2
PuGaGe | PBE | optimized geometry

POSCAR file:
```
PuGaGe
1.0
4.2646 -0.0324 0.0000
-2.1042 3.7095 0.0000
0.0000 0.0000 8.0419
Pu Ga Ge
2 2 2
Direct
0.0000 0.5000 0.5000 Pu
0.0000 0.5000 0.0000 Pu
0.6667 0.8333 0.2500 Ga
0.3333 0.1667 0.7500 Ga
0.6667 0.8333 0.7500 Ge
0.3333 0.1667 0.2500 Ge
```

Volume ... 21.1 Å³ per atom
Crystal system ... hexagonal
Uncorrected energy ... -7.6777 eV per atom
ΔE_f ... -352 meV/atom
SG ... P6_3/mmc

---

Which value of uncorrected energy does entry 2 give?
-7.6777 eV per atom

---

What is the formula in the first record?
ScAlCl2

---

Which of these has the highest uncorrected energy?
ScAlCl2